# CeSi3OsRu | Alexandria | PBE | optimized geometry
# Final energy = -90.2 eV for the cell shown
# Raw formation energy = -0.40 eV per atom
# SG = Cmcm
data_CeSi3OsRu
_chemical_formula_sum 'Ce2 Si6 Os2 Ru2'
_cell_length_a 5.566
_cell_length_b 7.547
_cell_length_c 6.709
_cell_angle_alpha 124.23
_cell_angle_beta 90.00
_cell_angle_gamma 90.00
_symmetry_space_group_name_H-M 'P 1'
_symmetry_Int_Tables_number 1
loop_
_symmetry_equiv_pos_as_xyz
'x,y,z'
loop_
_atom_site_label
_atom_site_fract_x
_atom_site_fract_y
_atom_site_fract_z
_atom_site_occupancy
Si1 0.750 0.750 0.500 1
Si2 0.500 0.752 0.000 1
Si3 0.250 0.250 0.500 1
Si4 0.000 0.752 0.000 1
Si5 0.000 0.248 0.000 1
Si6 0.500 0.248 0.000 1
Ru1 0.750 0.947 0.895 1
Ru2 0.250 0.053 0.105 1
Ce1 0.750 0.252 0.504 1
Ce2 0.250 0.748 0.496 1
Os1 0.250 0.450 0.901 1
Os2 0.750 0.550 0.099 1

---

# CeThOsRu | Alexandria | PBE | optimized geometry
# Formation energy from the elements = -220 meV per atom
# Final energy = -34.7 eV for the cell shown
# SG = F-43m
data_CeThOsRu
_chemical_formula_sum 'Ce1 Th1 Os1 Ru1'
_cell_length_a 4.968
_cell_length_b 4.968
_cell_length_c 4.968
_cell_angle_alpha 60.00
_cell_angle_beta 60.00
_cell_angle_gamma 60.00
_symmetry_space_group_name_H-M 'P 1'
_symmetry_Int_Tables_number 1
loop_
_symmetry_equiv_pos_as_xyz
'x,y,z'
loop_
_atom_site_label
_atom_site_fract_x
_atom_site_fract_y
_atom_site_fract_z
_atom_site_occupancy
Th1 0.500 0.500 0.500 1
Ru1 0.750 0.750 0.750 1
Ce1 0.000 0.000 0.000 1
Os1 0.250 0.250 0.250 1

---

Copy entry 1 word for word.
# CeSi3OsRu | Alexandria | PBE | optimized geometry
# Final energy = -90.2 eV for the cell shown
# Raw formation energy = -0.40 eV per atom
# SG = Cmcm
data_CeSi3OsRu
_chemical_formula_sum 'Ce2 Si6 Os2 Ru2'
_cell_length_a 5.566
_cell_length_b 7.547
_cell_length_c 6.709
_cell_angle_alpha 124.23
_cell_angle_beta 90.00
_cell_angle_gamma 90.00
_symmetry_space_group_name_H-M 'P 1'
_symmetry_Int_Tables_number 1
loop_
_symmetry_equiv_pos_as_xyz
'x,y,z'
loop_
_atom_site_label
_atom_site_fract_x
_atom_site_fract_y
_atom_site_fract_z
_atom_site_occupancy
Si1 0.750 0.750 0.500 1
Si2 0.500 0.752 0.000 1
Si3 0.250 0.250 0.500 1
Si4 0.000 0.752 0.000 1
Si5 0.000 0.248 0.000 1
Si6 0.500 0.248 0.000 1
Ru1 0.750 0.947 0.895 1
Ru2 0.250 0.053 0.105 1
Ce1 0.750 0.252 0.504 1
Ce2 0.250 0.748 0.496 1
Os1 0.250 0.450 0.901 1
Os2 0.750 0.550 0.099 1

---

What is the formula in the second record? CeThOsRu

---

Which value of final energy does entry 2 give? -34.7 eV for the cell shown

---

Which of these has the highest final energy? CeThOsRu